<one>
An optimized crystal structure of Rb2AlAuF6, computed with GGA-PBE.

a b c (Å): 6.1646 6.1646 6.1646
angles (deg): 60.00 60.00 60.00
Last column: nearest neighbours and their distance in Å.
Atoms (fractional coordinates):
Rb 0.7500 0.7500 0.7500  12 F 3.10
Rb 0.2500 0.2500 0.2500  12 F 3.10
Al 0.0000 0.0000 0.0000  6 F 1.84
Au 0.5000 0.5000 0.5000  6 F 2.52
F 0.2112 0.7888 0.2112  1 Al 1.84
F 0.7888 0.2112 0.2112  1 Al 1.84
F 0.7888 0.2112 0.7888  1 Al 1.84
F 0.2112 0.2112 0.7888  1 Al 1.84
F 0.7888 0.7888 0.2112  1 Al 1.84
F 0.2112 0.7888 0.7888  1 Al 1.84

Computed properties:
For the total moment, the calculation gives 0.003 μB/atom.

=====

<two>
An optimized crystal structure of Rb2AlAuF6, computed with GGA-PBE.

a b c (Å): 6.6327 6.6327 6.1583
angles (deg): 57.42 57.42 90.00
Last column: nearest neighbours and their distance in Å.
Atoms (fractional coordinates):
Au 0.0000 0.0000 0.0000  2 F 2.08
Al 0.5000 0.5000 0.0000  6 F 1.80-1.91
Rb 0.7500 0.2500 0.5000  12 F 3.13-3.32
Rb 0.2500 0.7500 0.5000  12 F 3.13-3.32
F 0.2603 0.2603 0.4793  1 Al 1.91, 1 Au 2.08
F 0.7397 0.7397 0.5207  1 Al 1.91, 1 Au 2.08
F 0.3078 0.3078 0.0000  1 Al 1.80
F 0.6922 0.6922 0.0000  1 Al 1.80
F 0.6922 0.3078 0.0000  1 Al 1.80
F 0.3078 0.6922 0.0000  1 Al 1.80

Computed properties:
The density of states at the Fermi level is 0.00 states/eV per cell. For the total moment, the calculation gives 0.000 μB/atom.

=====

Which is more stable than every other structure shown? <two> is more stable than every other one.